Entry from Alexandria: crystalline MgZrAu at its relaxed geometry (PBE).

Energy of formation = -200.7 meV per atom
Density of states at the Fermi level = 10.40 states/eV/cell
Calculated volume = 21.137 Å³/atom
Uncorrected energy = -56.1 eV/cell
Total magnetization = 0.41 μB/f.u.

```
MgZrAu
1.0
3.185 0.000 0.000
0.000 3.185 0.000
0.000 0.000 25.010
Mg Zr Au
4 4 4
direct
0.000 0.000 0.204
0.000 0.000 0.796
0.500 0.500 0.296
0.500 0.500 0.704
0.000 0.000 0.060
0.000 0.000 0.940
0.500 0.500 0.440
0.500 0.500 0.560
0.000 0.000 0.364
0.000 0.000 0.636
0.500 0.500 0.136
0.500 0.500 0.864
```


Entry from Alexandria: crystalline Ba3Ga4Pt2 at its relaxed geometry (PBE).

Energy of formation = -645.5 meV per atom
Density of states at the Fermi level = 5.97 states/eV/cell
Calculated volume = 27.167 Å³/atom
Uncorrected energy = -35.8 eV/cell
Total magnetization = 0.00 μB/f.u.

```
Ba3Ga4Pt2
1.0
6.135 -2.209 0.000
6.135 2.209 0.000
-3.038 0.000 9.021
Ba Ga Pt
3 4 2
direct
0.000 0.000 0.000
0.399 0.399 0.316
0.601 0.601 0.684
0.156 0.156 0.427
0.269 0.269 0.936
0.731 0.731 0.064
0.844 0.844 0.573
0.321 0.321 0.694
0.679 0.679 0.306
```